11
Lattice="3.040 -5.272 0.000 3.040 5.272 0.000 -2.040 0.000 11.426" Properties=species:S:1:pos:R:3 comment="Pm2Y3Tm6 (GGA-PBE, optimized geometry)" e_tot_ev_per_atom=-4.8695 vol_a3_per_atom=33.296 formation_enthalpy_0k_ev_per_atom=0.20 m_tot_mub_per_fu=0.00 sg="C2/m, No. 12" polymorph_energy_mev_per_atom=0 pbc="T T T"
Pm 3.040 3.516 0.000
Pm 3.040 -3.516 0.000
Y -1.020 0.000 5.713
Y 2.020 1.739 5.713
Y 2.020 -1.739 5.713
Tm -0.009 1.760 8.556
Tm 1.008 0.000 2.867
Tm -0.009 -1.760 8.556
Tm 4.050 1.760 2.870
Tm 3.032 0.000 8.559
Tm 4.050 -1.760 2.870